LaTbPm2Sc: relaxed, GGA-PBE.

a b c (Å): 7.956 5.075 7.990
angles (deg): 90.00 90.87 90.00
Atoms (fractional coordinates):
La: 0.244 0.250 0.241
La: 0.756 0.750 0.759
Tb: 0.444 0.250 0.652
Tb: 0.556 0.750 0.348
Pm: 0.149 0.750 0.546
Pm: 0.339 0.750 0.948
Pm: 0.661 0.250 0.052
Pm: 0.851 0.250 0.454
Sc: 0.050 0.250 0.850
Sc: 0.950 0.750 0.150

Computed properties:
DFT total energy: -5.0286 eV/atom
symmetry: P2_1/m, No. 11
formation energy: 0.25 eV per formula unit